First-principles (PBE) data for a geometry-optimized Nb5Ge5Rh structure, as listed in the Alexandria database.

Theoretical density   7.9 g/cm3
Energy of formation from the pure elements   -0.40 eV/f.u.
Total DFT energy (no corrections)   -0.5425 Ry/atom
DOS at the Fermi energy   6.0 states/eV/f.u.

a = 5.1051 Å, b = 5.6293 Å, c = 8.3368 Å
α = 110.97°, β = 90.00°, γ = 116.96°
Closest atoms and distances in Å follow each position.
Fractional positions:
1 Nb 0.6884 0.3769 0.3681  5 Ge 2.58-2.89, 2 Nb 2.82-2.87
2 Nb 0.6159 0.2317 0.7359  4 Ge 2.61-2.87, 1 Nb 2.82
3 Nb 0.0000 0.0000 0.5000  2 Ge 2.54
4 Nb 0.3841 0.7683 0.2641  4 Ge 2.61-2.87, 1 Nb 2.82
5 Nb 0.3116 0.6231 0.6319  5 Ge 2.58-2.89, 2 Nb 2.82-2.87
6 Ge 0.7995 0.5990 0.1188  1 Rh 2.57, 3 Nb 2.72-2.81, 1 Ge 2.76
7 Ge 0.8608 0.7215 0.6960  1 Rh 2.35, 5 Nb 2.54-2.61
8 Ge 0.5000 0.0000 0.0000  2 Rh 2.55, 2 Ge 2.76
9 Ge 0.1392 0.2785 0.3040  1 Rh 2.35, 5 Nb 2.54-2.61
10 Ge 0.2005 0.4010 0.8812  1 Rh 2.57, 3 Nb 2.72-2.81, 1 Ge 2.76
11 Rh 0.0000 0.0000 0.0000  6 Ge 2.35-2.57